Here is SnMoPd2F after structural relaxation from the Alexandria database. Energies are from PBE+U.

Cell and atoms, written as extended XYZ:
```
5
Lattice="4.5271 0.0000 0.0000 0.0000 4.5616 0.0000 0.0000 0.0000 4.5271" Properties=species:S:1:pos:R:3 pbc="T T T"
F 0.0000 0.0000 0.0000
Mo 2.2635 2.2808 2.2635
Pd 2.2635 0.0000 0.0000
Pd 0.0000 0.0000 2.2635
Sn 0.0000 2.2808 0.0000
```

## Properties
The total magnetization is 4.19 μB per formula unit. Its space-group type is P4/mmm, No. 123. The total energy comes out at -4.467 eV per atom.